Compound: BeCd2Re
Source: Alexandria
Functional: PBE-GGA
Structure: optimized geometry

Calculated values
For the formation energy, the calculation gives 651.6 meV per atom.

```
data_BeCd2Re
_cell_length_a 2.823
_cell_length_b 2.823
_cell_length_c 9.119
_cell_angle_alpha 90.00
_cell_angle_beta 90.00
_cell_angle_gamma 116.49
_symmetry_space_group_name_H-M 'P 1'
_symmetry_Int_Tables_number 1
_symmetry_space_group_name_Hall 'P 1'
loop_
_atom_site_label
_atom_site_type_symbol
_atom_site_fract_x
_atom_site_fract_y
_atom_site_fract_z
Re1 Re 0.500 0.500 0.250
Cd1 Cd 0.000 0.000 0.520
Cd2 Cd 0.000 0.000 0.980
Be1 Be 0.500 0.500 0.750
```

=====

Compound: Be2CdRe
Source: Alexandria
Functional: PBE-GGA
Structure: optimized geometry

Calculated values
For the formation energy, the calculation gives 347.2 meV per atom.

```
data_Be2CdRe
_cell_length_a 4.348
_cell_length_b 4.348
_cell_length_c 5.185
_cell_angle_alpha 82.46
_cell_angle_beta 82.46
_cell_angle_gamma 35.59
_symmetry_space_group_name_H-M 'P 1'
_symmetry_Int_Tables_number 1
_symmetry_space_group_name_Hall 'P 1'
loop_
_atom_site_label
_atom_site_type_symbol
_atom_site_fract_x
_atom_site_fract_y
_atom_site_fract_z
Be1 Be 0.509 0.509 0.417
Be2 Be 0.991 0.991 0.083
Cd1 Cd 0.750 0.750 0.750
Re1 Re 0.250 0.250 0.250
```

=====

Compound: Be3CdRe
Source: Alexandria
Functional: PBE-GGA
Structure: optimized geometry

Calculated values
The value obtained for the distance to the lowest polymorph of the same formula is 0.0 kJ per mole of atoms. For the formation energy, the calculation gives 959.7 meV per atom.

```
data_Be3CdRe
_cell_length_a 4.302
_cell_length_b 4.302
_cell_length_c 4.302
_cell_angle_alpha 90.00
_cell_angle_beta 90.00
_cell_angle_gamma 90.00
_symmetry_space_group_name_H-M 'P 1'
_symmetry_Int_Tables_number 1
_symmetry_space_group_name_Hall 'P 1'
loop_
_atom_site_label
_atom_site_type_symbol
_atom_site_fract_x
_atom_site_fract_y
_atom_site_fract_z
Re1 Re 0.000 0.000 0.000
Be1 Be 0.500 0.000 0.000
Be2 Be 0.000 0.000 0.500
Be3 Be 0.000 0.500 0.000
Cd1 Cd 0.500 0.500 0.500
```

=====

Compound: BeCd2Re
Source: Alexandria
Functional: PBE-GGA
Structure: optimized geometry

Calculated values
For the formation energy, the calculation gives 634.8 meV per atom.

```
data_BeCd2Re
_cell_length_a 5.017
_cell_length_b 5.489
_cell_length_c 2.761
_cell_angle_alpha 78.52
_cell_angle_beta 83.39
_cell_angle_gamma 115.35
_symmetry_space_group_name_H-M 'P 1'
_symmetry_Int_Tables_number 1
_symmetry_space_group_name_Hall 'P 1'
loop_
_atom_site_label
_atom_site_type_symbol
_atom_site_fract_x
_atom_site_fract_y
_atom_site_fract_z
Cd1 Cd 0.500 0.000 0.500
Cd2 Cd 0.000 0.000 0.000
Be1 Be 0.500 0.500 0.000
Re1 Re 0.000 0.500 0.500
```

=====

Compound: Be2CdRe
Source: Alexandria
Functional: PBE-GGA
Structure: optimized geometry

Calculated values
For the formation energy, the calculation gives 524.1 meV per atom.

```
data_Be2CdRe
_cell_length_a 8.633
_cell_length_b 8.633
_cell_length_c 8.633
_cell_angle_alpha 18.28
_cell_angle_beta 18.28
_cell_angle_gamma 18.28
_symmetry_space_group_name_H-M 'P 1'
_symmetry_Int_Tables_number 1
_symmetry_space_group_name_Hall 'P 1'
loop_
_atom_site_label
_atom_site_type_symbol
_atom_site_fract_x
_atom_site_fract_y
_atom_site_fract_z
Be1 Be 0.995 0.995 0.995
Be2 Be 0.261 0.261 0.261
Re1 Re 0.737 0.737 0.737
Cd1 Cd 0.506 0.506 0.506
```

=====

Compound: BeCd2Re
Source: Alexandria
Functional: PBE-GGA
Structure: optimized geometry

Calculated values
For the formation energy, the calculation gives 415.4 meV per atom.

```
data_BeCd2Re
_cell_length_a 9.647
_cell_length_b 9.647
_cell_length_c 9.647
_cell_angle_alpha 16.99
_cell_angle_beta 16.99
_cell_angle_gamma 16.99
_symmetry_space_group_name_H-M 'P 1'
_symmetry_Int_Tables_number 1
_symmetry_space_group_name_Hall 'P 1'
loop_
_atom_site_label
_atom_site_type_symbol
_atom_site_fract_x
_atom_site_fract_y
_atom_site_fract_z
Be1 Be 0.759 0.759 0.759
Cd1 Cd 0.011 0.011 0.011
Cd2 Cd 0.243 0.243 0.243
Re1 Re 0.488 0.488 0.488
```

=====

Compound: BeCd2Re
Source: Alexandria
Functional: PBE-GGA
Structure: optimized geometry

Calculated values
For the formation energy, the calculation gives 713.8 meV per atom.

```
data_BeCd2Re
_cell_length_a 2.758
_cell_length_b 4.322
_cell_length_c 5.520
_cell_angle_alpha 90.00
_cell_angle_beta 90.00
_cell_angle_gamma 90.00
_symmetry_space_group_name_H-M 'P 1'
_symmetry_Int_Tables_number 1
_symmetry_space_group_name_Hall 'P 1'
loop_
_atom_site_label
_atom_site_type_symbol
_atom_site_fract_x
_atom_site_fract_y
_atom_site_fract_z
Re1 Re 0.500 0.500 0.250
Cd1 Cd 0.000 0.000 0.997
Cd2 Cd 0.000 0.000 0.503
Be1 Be 0.500 0.500 0.750
```

=====

Compound: Be2CdRe
Source: Alexandria
Functional: PBE-GGA
Structure: optimized geometry

Calculated values
For the formation energy, the calculation gives 419.1 meV per atom.

```
data_Be2CdRe
_cell_length_a 5.003
_cell_length_b 5.003
_cell_length_c 5.003
_cell_angle_alpha 139.85
_cell_angle_beta 139.85
_cell_angle_gamma 58.09
_symmetry_space_group_name_H-M 'P 1'
_symmetry_Int_Tables_number 1
_symmetry_space_group_name_Hall 'P 1'
loop_
_atom_site_label
_atom_site_type_symbol
_atom_site_fract_x
_atom_site_fract_y
_atom_site_fract_z
Re1 Re 0.750 0.250 0.500
Be1 Be 0.250 0.750 0.500
Be2 Be 0.000 0.000 0.000
Cd1 Cd 0.500 0.500 0.000
```

=====

Compound: Be2CdRe
Source: Alexandria
Functional: PBE-GGA
Structure: optimized geometry

Calculated values
For the formation energy, the calculation gives 293.2 meV per atom.

```
data_Be2CdRe
_cell_length_a 6.582
_cell_length_b 4.224
_cell_length_c 2.821
_cell_angle_alpha 89.89
_cell_angle_beta 64.78
_cell_angle_gamma 129.56
_symmetry_space_group_name_H-M 'P 1'
_symmetry_Int_Tables_number 1
_symmetry_space_group_name_Hall 'P 1'
loop_
_atom_site_label
_atom_site_type_symbol
_atom_site_fract_x
_atom_site_fract_y
_atom_site_fract_z
Be1 Be 0.000 0.000 0.000
Be2 Be 0.500 0.000 0.500
Re1 Re 0.500 0.500 0.000
Cd1 Cd 0.000 0.500 0.500
```

=====

Compound: BeCd2Re
Source: Alexandria
Functional: PBE-GGA
Structure: optimized geometry

Calculated values
For the formation energy, the calculation gives 581.2 meV per atom.

```
data_BeCd2Re
_cell_length_a 5.518
_cell_length_b 5.518
_cell_length_c 5.518
_cell_angle_alpha 150.00
_cell_angle_beta 131.44
_cell_angle_gamma 58.14
_symmetry_space_group_name_H-M 'P 1'
_symmetry_Int_Tables_number 1
_symmetry_space_group_name_Hall 'P 1'
loop_
_atom_site_label
_atom_site_type_symbol
_atom_site_fract_x
_atom_site_fract_y
_atom_site_fract_z
Re1 Re 0.750 0.250 0.500
Cd1 Cd 0.465 0.465 0.000
Cd2 Cd 0.035 0.035 0.000
Be1 Be 0.250 0.750 0.500
```

=====

Compound: BeCd2Re
Source: Alexandria
Functional: PBE-GGA
Structure: optimized geometry

Calculated values
For the formation energy, the calculation gives 517.3 meV per atom.

```
data_BeCd2Re
_cell_length_a 5.518
_cell_length_b 5.518
_cell_length_c 5.047
_cell_angle_alpha 62.37
_cell_angle_beta 62.37
_cell_angle_gamma 29.24
_symmetry_space_group_name_H-M 'P 1'
_symmetry_Int_Tables_number 1
_symmetry_space_group_name_Hall 'P 1'
loop_
_atom_site_label
_atom_site_type_symbol
_atom_site_fract_x
_atom_site_fract_y
_atom_site_fract_z
Cd1 Cd 0.983 0.983 0.961
Cd2 Cd 0.762 0.762 0.786
Be1 Be 0.225 0.225 0.350
Re1 Re 0.530 0.530 0.403
```

=====

Compound: BeCdReRh2
Source: Alexandria
Functional: PBE-GGA
Structure: optimized geometry

Calculated values
For the formation energy, the calculation gives 709.0 meV per atom.

```
data_BeCdReRh2
_cell_length_a 4.149
_cell_length_b 4.351
_cell_length_c 4.149
_cell_angle_alpha 90.00
_cell_angle_beta 90.00
_cell_angle_gamma 90.00
_symmetry_space_group_name_H-M 'P 1'
_symmetry_Int_Tables_number 1
_symmetry_space_group_name_Hall 'P 1'
loop_
_atom_site_label
_atom_site_type_symbol
_atom_site_fract_x
_atom_site_fract_y
_atom_site_fract_z
Rh1 Rh 0.500 0.000 0.000
Rh2 Rh 0.000 0.000 0.500
Re1 Re 0.500 0.500 0.500
Be1 Be 0.000 0.000 0.000
Cd1 Cd 0.000 0.500 0.000
```

=====

Compound: BeCd2ReSn
Source: Alexandria
Functional: PBE-GGA
Structure: optimized geometry

Calculated values
For the formation energy, the calculation gives 1006.2 meV per atom.

```
data_BeCd2ReSn
_cell_length_a 5.242
_cell_length_b 4.369
_cell_length_c 5.242
_cell_angle_alpha 90.00
_cell_angle_beta 90.00
_cell_angle_gamma 90.00
_symmetry_space_group_name_H-M 'P 1'
_symmetry_Int_Tables_number 1
_symmetry_space_group_name_Hall 'P 1'
loop_
_atom_site_label
_atom_site_type_symbol
_atom_site_fract_x
_atom_site_fract_y
_atom_site_fract_z
Be1 Be 0.000 0.500 0.000
Sn1 Sn 0.500 0.500 0.500
Cd1 Cd 0.000 0.000 0.500
Cd2 Cd 0.500 0.000 0.000
Re1 Re 0.000 0.000 0.000
```

=====

Compound: Sr2BeCdRe
Source: Alexandria
Functional: PBE-GGA
Structure: optimized geometry

Calculated values
For the formation energy, the calculation gives 1118.3 meV per atom.

```
data_Sr2BeCdRe
_cell_length_a 5.701
_cell_length_b 4.533
_cell_length_c 5.701
_cell_angle_alpha 90.00
_cell_angle_beta 90.00
_cell_angle_gamma 90.00
_symmetry_space_group_name_H-M 'P 1'
_symmetry_Int_Tables_number 1
_symmetry_space_group_name_Hall 'P 1'
loop_
_atom_site_label
_atom_site_type_symbol
_atom_site_fract_x
_atom_site_fract_y
_atom_site_fract_z
Re1 Re 0.500 0.500 0.500
Cd1 Cd 0.000 0.500 0.000
Sr1 Sr 0.500 0.000 0.000
Sr2 Sr 0.000 0.000 0.500
Be1 Be 0.000 0.000 0.000
```

=====

Compound: TiBeCdRe2
Source: Alexandria
Functional: PBE-GGA
Structure: optimized geometry

Calculated values
For the formation energy, the calculation gives 583.7 meV per atom.

```
data_TiBeCdRe2
_cell_length_a 4.223
_cell_length_b 4.337
_cell_length_c 4.223
_cell_angle_alpha 90.00
_cell_angle_beta 90.00
_cell_angle_gamma 90.00
_symmetry_space_group_name_H-M 'P 1'
_symmetry_Int_Tables_number 1
_symmetry_space_group_name_Hall 'P 1'
loop_
_atom_site_label
_atom_site_type_symbol
_atom_site_fract_x
_atom_site_fract_y
_atom_site_fract_z
Ti1 Ti 0.000 0.500 0.000
Re1 Re 0.500 0.000 0.000
Re2 Re 0.000 0.000 0.500
Cd1 Cd 0.500 0.500 0.500
Be1 Be 0.000 0.000 0.000
```